(1)
Here is crystalline NbFeSnW2 at its relaxed geometry from the Alexandria database. Energies are from PBE-GGA.

Unit cell a=4.5226 b=4.5801 c=4.5226 alpha=90.00 beta=90.00 gamma=90.00
Fractional coordinates of all 5 atoms:
1 W 0.0000 0.0000 0.5000
2 W 0.5000 0.0000 0.0000
3 Sn 0.0000 0.5000 0.0000
4 Fe 0.0000 0.0000 0.0000
5 Nb 0.5000 0.5000 0.5000

Total magnetic moment in μB per atom: 0.000
Formation energy from the elements in eV per atom: 1.12
Calculated density in g cm⁻³: 11.26
E in eV/atom: -8.570


(2)
Here is crystalline VAg2Sn at its relaxed geometry from the Alexandria database. Energies are from PBE-GGA.

Unit cell a=2.9463 b=2.9463 c=10.7804 alpha=82.15 beta=82.15 gamma=60.00
Last column: magnetic moment on the atom in μB.
Fractional coordinates of all 4 atoms:
1 Ag 0.0828 0.0828 0.7516  0.01
2 Ag 0.9172 0.9172 0.2484  0.01
3 V 0.0000 0.0000 0.0000  1.17
4 Sn 0.5000 0.5000 0.5000  0.00

Total magnetic moment in μB per atom: 0.343
Formation energy from the elements in eV per atom: 0.60
Calculated density in g cm⁻³: 8.00
E in eV/atom: -4.111


(3)
Here is crystalline Te2HPt at its relaxed geometry from the Alexandria database. Energies are from PBE-GGA.

Unit cell a=4.7197 b=4.7197 c=4.7197 alpha=60.00 beta=60.00 gamma=60.00
Fractional coordinates of all 4 atoms:
1 Te 0.7500 0.7500 0.7500
2 Te 0.2500 0.2500 0.2500
3 Pt 0.5000 0.5000 0.5000
4 H 0.0000 0.0000 0.0000

Total magnetic moment in μB per atom: 0.000
Excess energy over the best structure of this formula in the dataset in meV per atom: 519.4
Calculated density in g cm⁻³: 10.08
E in eV/atom: -3.459


(4)
Here is crystalline DyPuAgSn at its relaxed geometry from the Alexandria database. Energies are from PBE-GGA.

Unit cell a=5.2671 b=5.2671 c=5.2671 alpha=60.00 beta=60.00 gamma=60.00
Last column: magnetic moment on the atom in μB.
Fractional coordinates of all 4 atoms:
1 Ag 0.7500 0.7500 0.7500  0.05
2 Dy 0.0000 0.0000 0.0000  0.30
3 Sn 0.2500 0.2500 0.2500  -0.06
4 Pu 0.5000 0.5000 0.5000  5.49

Total magnetic moment in μB per atom: 1.570
Formation energy from the elements in eV per atom: -0.32
Calculated density in g cm⁻³: 10.17
E in eV/atom: -6.766